# Er4TlTe3 PBE-GGA optimized geometry
data_Er4TlTe3
_space_group_name_H-M_alt 'P 1'
_space_group_IT_number 1
_space_group_name_Hall 'P 1'
_cell_length_a 7.524
_cell_length_b 8.722
_cell_length_c 7.526
_cell_angle_alpha 90.00
_cell_angle_beta 109.49
_cell_angle_gamma 90.00
loop_
_atom_site_label
_atom_site_fract_x
_atom_site_fract_y
_atom_site_fract_z
Er1 0.239 0.119 0.000
Er2 0.239 0.881 0.500
Er3 0.241 0.366 0.491
Er4 0.241 0.634 0.991
Er5 0.759 0.366 0.009
Er6 0.759 0.634 0.509
Er7 0.761 0.119 0.500
Er8 0.761 0.881 0.000
Tl1 0.000 0.125 0.250
Tl2 0.000 0.875 0.750
Te1 0.000 0.376 0.750
Te2 0.000 0.624 0.250
Te3 0.500 0.127 0.750
Te4 0.500 0.379 0.250
Te5 0.500 0.621 0.750
Te6 0.500 0.873 0.250
# Total DFT energy (no corrections) in Ry/atom: -0.3517
# Raw formation energy in meV/atom: -1029
# DOS at the Fermi energy in states/eV per cell: 2.424